# GGA-PBE NaB2SbMo, optimized geometry
data_NaB2SbMo
_symmetry_space_group_name_H-M 'P 4/m m m'
_symmetry_Int_Tables_number 123
_symmetry_space_group_name_Hall '-P 4 2'
_cell_length_a 4.3665
_cell_length_b 4.3665
_cell_length_c 5.1369
_cell_angle_alpha 90.00
_cell_angle_beta 90.00
_cell_angle_gamma 90.00
loop_
_atom_site_label
_atom_site_type_symbol
_atom_site_fract_x
_atom_site_fract_y
_atom_site_fract_z
Na1 Na 0.0000 0.0000 0.0000
B1 B 0.0000 0.5000 0.5000
Sb1 Sb 0.5000 0.5000 0.0000
Mo1 Mo 0.5000 0.5000 0.5000
# energy relative to the elements, uncorrected: 0.78 eV/atom

=====

# GGA-PBE NaBMoSe2, optimized geometry
data_NaBMoSe2
_symmetry_space_group_name_H-M 'P 4/m m m'
_symmetry_Int_Tables_number 123
_symmetry_space_group_name_Hall '-P 4 2'
_cell_length_a 5.0148
_cell_length_b 5.0148
_cell_length_c 4.2818
_cell_angle_alpha 90.00
_cell_angle_beta 90.00
_cell_angle_gamma 90.00
loop_
_atom_site_label
_atom_site_type_symbol
_atom_site_fract_x
_atom_site_fract_y
_atom_site_fract_z
Na1 Na 0.0000 0.0000 0.0000
B1 B 0.5000 0.5000 0.0000
Mo1 Mo 0.5000 0.5000 0.5000
Se1 Se 0.0000 0.5000 0.5000
# energy relative to the elements, uncorrected: 0.16 eV/atom

=====

# GGA-PBE NaSrBMo2, optimized geometry
data_NaSrBMo2
_symmetry_space_group_name_H-M 'P 4/m m m'
_symmetry_Int_Tables_number 123
_symmetry_space_group_name_Hall '-P 4 2'
_cell_length_a 5.0035
_cell_length_b 5.0035
_cell_length_c 4.5679
_cell_angle_alpha 90.00
_cell_angle_beta 90.00
_cell_angle_gamma 90.00
loop_
_atom_site_label
_atom_site_type_symbol
_atom_site_fract_x
_atom_site_fract_y
_atom_site_fract_z
Na1 Na 0.0000 0.0000 0.0000
Sr1 Sr 0.5000 0.5000 0.5000
B1 B 0.0000 0.0000 0.5000
Mo1 Mo 0.0000 0.5000 0.0000
# energy of formation: 2.3357 eV/atom

=====

# GGA-PBE Nb4B2Mo, optimized geometry
data_Nb4B2Mo
_symmetry_space_group_name_H-M 'R -3 m'
_symmetry_Int_Tables_number 166
_symmetry_space_group_name_Hall '-R 3 2"'
_cell_length_a 4.2792
_cell_length_b 4.2792
_cell_length_c 20.3876
_cell_angle_alpha 90.00
_cell_angle_beta 90.00
_cell_angle_gamma 120.00
loop_
_atom_site_label
_atom_site_type_symbol
_atom_site_fract_x
_atom_site_fract_y
_atom_site_fract_z
Nb1 Nb 0.0000 0.0000 0.1122
Nb2 Nb 0.0000 0.0000 0.2833
B1 B 0.0000 0.0000 0.3939
Mo1 Mo 0.0000 0.0000 0.5000
# energy of formation: 0.0052 eV/atom

=====

# GGA-PBE NbBMo, optimized geometry
data_NbBMo
_symmetry_space_group_name_H-M 'C 1 2/m 1'
_symmetry_Int_Tables_number 12
_symmetry_space_group_name_Hall '-C 2y'
_cell_length_a 7.9688
_cell_length_b 4.8984
_cell_length_c 5.6417
_cell_angle_alpha 90.00
_cell_angle_beta 134.59
_cell_angle_gamma 90.00
loop_
_atom_site_label
_atom_site_type_symbol
_atom_site_fract_x
_atom_site_fract_y
_atom_site_fract_z
Nb1 Nb 0.1568 0.0000 0.4739
B1 B 0.0000 0.3025 0.0000
Mo1 Mo 0.1794 0.5000 0.8410
# energy of formation: -0.4242 eV/atom

=====

# GGA-PBE NbBMo, optimized geometry
data_NbBMo
_symmetry_space_group_name_H-M 'P 1 21/m 1'
_symmetry_Int_Tables_number 11
_symmetry_space_group_name_Hall '-P 2yb'
_cell_length_a 3.1451
_cell_length_b 4.5411
_cell_length_c 5.9467
_cell_angle_alpha 90.00
_cell_angle_beta 98.65
_cell_angle_gamma 90.00
loop_
_atom_site_label
_atom_site_type_symbol
_atom_site_fract_x
_atom_site_fract_y
_atom_site_fract_z
Nb1 Nb 0.1633 0.2500 0.1056
B1 B 0.2667 0.7500 0.6226
Mo1 Mo 0.2957 0.2500 0.6275
# energy of formation: -0.1964 eV/atom

=====

# GGA-PBE NbBMo2, optimized geometry
data_NbBMo2
_symmetry_space_group_name_H-M 'C m c m'
_symmetry_Int_Tables_number 63
_symmetry_space_group_name_Hall '-C 2c 2'
_cell_length_a 3.1407
_cell_length_b 18.5080
_cell_length_c 4.0008
_cell_angle_alpha 90.00
_cell_angle_beta 90.00
_cell_angle_gamma 90.00
loop_
_atom_site_label
_atom_site_type_symbol
_atom_site_fract_x
_atom_site_fract_y
_atom_site_fract_z
Nb1 Nb 0.0000 0.1190 0.2500
B1 B 0.0000 0.3404 0.2500
Mo1 Mo 0.0000 0.2518 0.7500
Mo2 Mo 0.0000 0.4643 0.2500
# energy of formation: 0.0943 eV/atom

=====

# GGA-PBE NbBMo, optimized geometry
data_NbBMo
_symmetry_space_group_name_H-M 'C m c m'
_symmetry_Int_Tables_number 63
_symmetry_space_group_name_Hall '-C 2c 2'
_cell_length_a 3.2171
_cell_length_b 9.9028
_cell_length_c 5.0207
_cell_angle_alpha 90.00
_cell_angle_beta 90.00
_cell_angle_gamma 90.00
loop_
_atom_site_label
_atom_site_type_symbol
_atom_site_fract_x
_atom_site_fract_y
_atom_site_fract_z
Nb1 Nb 0.0000 0.2076 0.2500
B1 B 0.0000 0.1241 0.7500
Mo1 Mo 0.0000 0.5000 0.0000
# energy of formation: -0.3669 eV/atom